! Y3Tl2Cd PBE optimized geometry; values from VASP
&SYSTEM
  ibrav = 0, nat = 12, ntyp = 3
/
ATOMIC_SPECIES
Y 88.91 Y.upf
Tl 204.38 Tl.upf
Cd 112.41 Cd.upf
CELL_PARAMETERS angstrom
-5.1286 0.9746 1.1664
1.4841 -4.8559 -1.6825
2.1248 -3.6425 12.3865
ATOMIC_POSITIONS crystal
Y 0.3333 0.6667 0.4187
Y 0.6667 0.3333 0.0830
Y 0.0000 0.0000 0.7487
Y 0.0000 0.0000 0.2513
Y 0.3333 0.6667 0.9170
Y 0.6667 0.3333 0.5813
Tl 0.0000 0.0000 0.5000
Tl 0.3333 0.6667 0.1732
Tl 0.6667 0.3333 0.8268
Tl 0.0000 0.0000 0.0000
Cd 0.3333 0.6667 0.6677
Cd 0.6667 0.3333 0.3323
! Formation energy ... -219 kJ/mol of formula units
! Final energy ... -4.5511 eV per atom
! Space-group type ... P-3m1 (164)


! CuTe2 PBE optimized geometry; values from VASP
&SYSTEM
  ibrav = 0, nat = 12, ntyp = 2
/
ATOMIC_SPECIES
Te 127.60 Te.upf
Cu 63.55 Cu.upf
CELL_PARAMETERS angstrom
-6.3595 1.7206 0.8456
-1.8973 -6.0686 -1.9210
0.2750 -2.0808 6.3018
ATOMIC_POSITIONS crystal
Te 0.3767 0.3767 0.3767
Te 0.1233 0.6233 0.8767
Te 0.8767 0.1233 0.6233
Te 0.6233 0.8767 0.1233
Te 0.6233 0.6233 0.6233
Te 0.8767 0.3767 0.1233
Te 0.1233 0.8767 0.3767
Te 0.3767 0.1233 0.8767
Cu 0.0000 0.0000 0.0000
Cu 0.5000 0.0000 0.5000
Cu 0.5000 0.5000 0.0000
Cu 0.0000 0.5000 0.5000
! Uncorrected formation energy ... 0.3 meV per atom
! Final energy ... -3.4596 eV per atom
! Space-group type ... Pa-3 (205)


! SrYOs2Pd PBE optimized geometry; values from VASP
&SYSTEM
  ibrav = 0, nat = 5, ntyp = 4
/
ATOMIC_SPECIES
Y 88.91 Y.upf
Sr 87.62 Sr.upf
Os 190.23 Os.upf
Pd 106.42 Pd.upf
CELL_PARAMETERS angstrom
-0.4656 -2.9004 3.9960
4.2536 1.9432 1.9061
-2.6324 3.5416 2.2639
ATOMIC_POSITIONS crystal
Y 0.5000 0.5000 0.5000
Sr 0.0000 0.5000 0.0000
Os 0.0000 0.0000 0.5000
Os 0.5000 0.0000 0.0000
Pd 0.0000 0.0000 0.0000
! Formation energy ... 608 kJ/mol of formula units
! Final energy ... -5.8996 eV per atom
! Space-group type ... P4/mmm (123)


! Rb3ScAg2Cl8 PBE optimized geometry; values from VASP
&SYSTEM
  ibrav = 0, nat = 14, ntyp = 4
/
ATOMIC_SPECIES
Rb 85.47 Rb.upf
Sc 44.96 Sc.upf
Ag 107.87 Ag.upf
Cl 35.45 Cl.upf
CELL_PARAMETERS angstrom
7.2449 0.0000 0.0000
-3.6225 6.2743 0.0000
0.0000 0.0000 9.8269
ATOMIC_POSITIONS crystal
Rb 0.3333 0.6667 0.6248
Rb 0.6667 0.3333 0.3752
Rb 0.0000 0.0000 0.0000
Sc 0.0000 0.0000 0.5000
Ag 0.3333 0.6667 0.1865
Ag 0.6667 0.3333 0.8135
Cl 0.3333 0.6667 0.9422
Cl 0.6667 0.3333 0.0578
Cl 0.1606 0.8394 0.3495
Cl 0.8394 0.1606 0.6505
Cl 0.1606 0.3212 0.3495
Cl 0.8394 0.6788 0.6505
Cl 0.6788 0.8394 0.3495
Cl 0.3212 0.1606 0.6505
! Uncorrected formation energy ... -1552.6 meV per atom
! Final energy ... -3.6748 eV per atom
! Space-group type ... P-3m1 (164)


! BaTcIr2 PBE optimized geometry; values from VASP
&SYSTEM
  ibrav = 0, nat = 4, ntyp = 3
/
ATOMIC_SPECIES
Ba 137.33 Ba.upf
Ir 192.22 Ir.upf
Tc 98.00 Tc.upf
CELL_PARAMETERS angstrom
10.1332 -0.0188 -0.0110
9.7111 2.8942 -0.0110
9.7111 1.4071 2.5291
ATOMIC_POSITIONS crystal
Ba 0.7500 0.7500 0.7500
Ir 0.9852 0.9852 0.9852
Ir 0.5148 0.5148 0.5148
Tc 0.2500 0.2500 0.2500
! Formation energy ... 260 kJ/mol of formula units
! Final energy ... -6.8299 eV per atom
! Space-group type ... R-3m (166)


! BaSnAs2 PBE optimized geometry; values from VASP
&SYSTEM
  ibrav = 0, nat = 8, ntyp = 3
/
ATOMIC_SPECIES
As 74.92 As.upf
Ba 137.33 Ba.upf
Sn 118.71 Sn.upf
CELL_PARAMETERS angstrom
-4.8051 -5.5918 2.4692
2.8605 0.7187 7.1941
-3.9766 0.5412 5.7287
ATOMIC_POSITIONS crystal
As 0.5557 0.1250 0.2500
As 0.1943 0.6250 0.2500
As 0.3750 0.4443 0.7500
As 0.8750 0.8057 0.7500
Ba 0.0000 0.0000 0.0000
Ba 0.7500 0.2500 0.5000
Sn 0.5000 0.5000 0.0000
Sn 0.2500 0.7500 0.5000
! Formation energy ... -223 kJ/mol of formula units
! Final energy ... -4.3837 eV per atom
! Space-group type ... I-42d (122)


! HfNbGe PBE optimized geometry; values from VASP
&SYSTEM
  ibrav = 0, nat = 12, ntyp = 3
/
ATOMIC_SPECIES
Hf 178.49 Hf.upf
Nb 92.91 Nb.upf
Ge 72.64 Ge.upf
CELL_PARAMETERS angstrom
-1.8268 -3.1770 -0.1747
3.0963 -1.9297 2.7137
-7.0356 3.4686 10.4941
ATOMIC_POSITIONS crystal
Hf 0.0000 0.0000 0.7182
Hf 0.0000 0.5000 0.2182
Hf 0.0000 0.0000 0.0385
Hf 0.0000 0.5000 0.5385
Nb 0.0000 0.0000 0.3657
Nb 0.0000 0.5000 0.8657
Nb 0.5000 0.0000 0.5382
Nb 0.5000 0.5000 0.0382
Ge 0.5000 0.0000 0.8829
Ge 0.5000 0.5000 0.3829
Ge 0.5000 0.0000 0.1980
Ge 0.5000 0.5000 0.6980
! Formation energy ... -115 kJ/mol of formula units
! Final energy ... -8.6118 eV per atom
! Space-group type ... Amm2 (38)


! Nd2Sm5Dy2 PBE optimized geometry; values from VASP
&SYSTEM
  ibrav = 0, nat = 9, ntyp = 3
/
ATOMIC_SPECIES
Nd 144.24 Nd.upf
Sm 150.36 Sm.upf
Dy 162.50 Dy.upf
CELL_PARAMETERS angstrom
6.0161 0.0000 0.0000
-3.0081 5.9488 2.0957
0.0000 2.6568 9.3813
ATOMIC_POSITIONS crystal
Nd 0.5479 0.0958 0.7850
Nd 0.4521 0.9042 0.2150
Sm 0.2151 0.4301 0.1194
Sm 0.7849 0.5699 0.8806
Sm 0.1178 0.2356 0.5482
Sm 0.8822 0.7644 0.4518
Sm 0.0000 0.0000 0.0000
Dy 0.3347 0.6694 0.6656
Dy 0.6653 0.3306 0.3344
! Formation energy ... 100 kJ/mol of formula units
! Final energy ... -4.5887 eV per atom
! Space-group type ... C2/m (12)


! Ca3HfPb PBE optimized geometry; values from VASP
&SYSTEM
  ibrav = 0, nat = 5, ntyp = 3
/
ATOMIC_SPECIES
Pb 207.20 Pb.upf
Ca 40.08 Ca.upf
Hf 178.49 Hf.upf
CELL_PARAMETERS angstrom
5.8019 0.0000 0.0000
0.0000 5.8019 0.0000
0.0000 0.0000 5.8019
ATOMIC_POSITIONS crystal
Pb 0.5000 0.5000 0.5000
Ca 0.0000 0.5000 0.0000
Ca 0.0000 0.0000 0.5000
Ca 0.5000 0.0000 0.0000
Hf 0.0000 0.0000 0.0000
! Formation energy ... 415 kJ/mol of formula units
! Final energy ... -3.0735 eV per atom
! Space-group type ... Pm-3m (221)


! PmSmIn PBE optimized geometry; values from VASP
&SYSTEM
  ibrav = 0, nat = 3, ntyp = 3
/
ATOMIC_SPECIES
Sm 150.36 Sm.upf
Pm 145.00 Pm.upf
In 114.82 In.upf
CELL_PARAMETERS angstrom
-0.1143 -1.3794 -3.0564
9.1122 0.5313 1.2609
0.6083 -3.0159 1.3384
ATOMIC_POSITIONS crystal
Sm 0.0437 0.0874 0.9563
Pm 0.2381 0.4763 0.7619
In 0.8682 0.7363 0.1318
! Formation energy ... 70 kJ/mol of formula units
! Final energy ... -3.8281 eV per atom
! Space-group type ... I4mm (107)


! Be2PtF PBE optimized geometry; values from VASP
&SYSTEM
  ibrav = 0, nat = 8, ntyp = 3
/
ATOMIC_SPECIES
Be 9.01 Be.upf
Pt 195.08 Pt.upf
F 19.00 F.upf
CELL_PARAMETERS angstrom
2.6969 0.0000 0.0001
0.0000 3.6654 -0.0003
-1.3104 -0.0259 10.0328
ATOMIC_POSITIONS crystal
Be 0.0358 0.2505 0.0748
Be 0.9642 0.7495 0.9252
Be 0.6435 0.2519 0.2949
Be 0.3565 0.7481 0.7051
Pt 0.5634 0.7510 0.1310
Pt 0.4366 0.2490 0.8690
F 0.8153 0.7472 0.6205
F 0.1847 0.2528 0.3795
! Uncorrected formation energy ... -1433.0 meV per atom
! Final energy ... -5.2742 eV per atom
! Space-group type ... P-1 (2)


! InRhSe2 PBE optimized geometry; values from VASP
&SYSTEM
  ibrav = 0, nat = 4, ntyp = 3
/
ATOMIC_SPECIES
In 114.82 In.upf
Rh 102.91 Rh.upf
Se 78.96 Se.upf
CELL_PARAMETERS angstrom
-2.5762 -4.2571 -1.6147
3.0992 -2.9667 -2.9934
0.6650 2.1306 4.7313
ATOMIC_POSITIONS crystal
In 0.5000 0.5000 0.0000
Rh 0.7500 0.2500 0.5000
Se 0.0000 0.0000 0.0000
Se 0.2500 0.7500 0.5000
! Uncorrected formation energy ... 231.0 meV per atom
! Final energy ... -4.0338 eV per atom
! Space-group type ... I-4m2 (119)


What are the Fermi-level density of states values for these records? In order: 5.7; 1.6; 5.8; 0.0; 2.6; 0.0; 1.9; 18.2; 7.4; 4.6; 0.6; 2.0 states/eV/f.u..